Density functional theory data (GGA-PBE) for a relaxed NaCu5As2 crystal.

As for the symmetry: Immm, No. 71. The formation energy comes out at -0.065 eV/atom. The value obtained for the density of states at the Fermi level is 2.48 states/eV/f.u.

Unit cell a=4.0008 b=6.0534 c=6.0534 alpha=70.19 beta=70.70 gamma=70.70
Closest atoms and distances in Å follow each position.
Element x y z (fractional)
Cu1 0.3533 0.8233 0.4702  3 As 2.39-2.57, 2 Cu 2.46-2.66
Cu2 0.3533 0.4702 0.8233  3 As 2.39-2.57, 2 Cu 2.46-2.66
Cu3 0.6467 0.5298 0.1767  3 As 2.39-2.57, 2 Cu 2.46-2.66
Cu4 0.6467 0.1767 0.5298  3 As 2.39-2.57, 2 Cu 2.46-2.66
Cu5 0.0000 0.5000 0.5000  2 As 2.39
As1 0.7366 0.7634 0.7634  7 Cu 2.39-2.57
As2 0.2634 0.2366 0.2366  7 Cu 2.39-2.57
Na1 0.0000 0.0000 0.0000  4 As 2.93